1.
Computed, not measured: Ca2MgN after structural relaxation at the PBE level of DFT.

Calculated density, Mg/m³: 2.19
Energy relative to the lowest polymorph listed for this composition, meV/atom: 1036
Raw formation energy, eV/atom: 0.490

Cell: 5.0260 5.0260 5.0260 Å, 60.00 60.00 60.00°
Atoms (fractional coordinates):
1 Ca 0.2500 0.2500 0.2500
2 Ca 0.7500 0.7500 0.7500
3 Mg 0.5000 0.5000 0.5000
4 N 0.0000 0.0000 0.0000

=====

2.
Computed, not measured: Rb3SnSb3 after structural relaxation at the PBE level of DFT.

Calculated density, Mg/m³: 3.66
Raw formation energy, eV/atom: -0.273

Cell: 8.4550 8.4550 9.5855 Å, 93.24 93.24 100.54°
Atoms (fractional coordinates):
1 Sb 0.4330 0.1956 0.2942
2 Sb 0.8941 0.8941 0.1776
3 Sb 0.5670 0.8044 0.7058
4 Sb 0.8044 0.5670 0.7058
5 Sb 0.1956 0.4330 0.2942
6 Sb 0.1059 0.1059 0.8224
7 Rb 0.7370 0.2630 0.0000
8 Rb 0.8257 0.1743 0.5000
9 Rb 0.3727 0.3727 0.6464
10 Rb 0.1743 0.8257 0.5000
11 Rb 0.2630 0.7370 0.0000
12 Rb 0.6273 0.6273 0.3536
13 Sn 0.8536 0.8536 0.8808
14 Sn 0.1464 0.1464 0.1192

=====

3.
Computed, not measured: GeTeOs3 after structural relaxation at the PBE level of DFT.

Calculated density, Mg/m³: 11.30
Energy relative to the lowest polymorph listed for this composition, meV/atom: 726
Raw formation energy, eV/atom: 2.417

Cell: 4.8384 4.8384 4.8384 Å, 90.00 90.00 90.00°
Atoms (fractional coordinates):
1 Ge 0.5000 0.5000 0.5000
2 Os 0.0000 0.5000 0.0000
3 Os 0.5000 0.0000 0.0000
4 Os 0.0000 0.0000 0.5000
5 Te 0.0000 0.0000 0.0000

=====

4.
Computed, not measured: Pu2GaH after structural relaxation at the PBE level of DFT.

Calculated density, Mg/m³: 15.25
Energy relative to the lowest polymorph listed for this composition, meV/atom: 138

Cell: 3.4764 5.0987 7.3034 Å, 90.00 90.00 109.93°
Atoms (fractional coordinates):
1 Pu 0.3257 0.6514 0.9618
2 Pu 0.6743 0.3486 0.4618
3 Pu 0.6743 0.3486 0.0382
4 Pu 0.3257 0.6514 0.5382
5 H 0.2331 0.4663 0.2500
6 H 0.7669 0.5337 0.7500
7 Ga 0.0400 0.0799 0.7500
8 Ga 0.9600 0.9201 0.2500

=====

5.
Computed, not measured: ScMnSe2 after structural relaxation at the PBE level of DFT.

Calculated density, Mg/m³: 5.86
Energy relative to the lowest polymorph listed for this composition, meV/atom: 285
Raw formation energy, eV/atom: -0.714

Cell: 4.6379 4.6379 3.3942 Å, 90.00 90.00 90.00°
Atoms (fractional coordinates):
1 Se 0.5000 0.5000 0.0000
2 Se 0.0000 0.0000 0.0000
3 Mn 0.5000 0.0000 0.5000
4 Sc 0.0000 0.5000 0.5000

=====

6.
Computed, not measured: Eu2Zn2As3 after structural relaxation at the PBE level of DFT.

Calculated density, Mg/m³: 6.75
ΔE_f, kJ/mol of atoms: -78.8

Cell: 8.2130 8.2130 11.9097 Å, 55.20 55.20 30.06°
Atoms (fractional coordinates):
1 Eu 0.3977 0.3977 0.9465
2 Eu 0.2669 0.2669 0.3361
3 Eu 0.7331 0.7331 0.6639
4 Eu 0.6023 0.6023 0.0535
5 As 0.0819 0.0819 0.8711
6 As 0.6137 0.6137 0.5381
7 As 0.9181 0.9181 0.1289
8 As 0.3863 0.3863 0.4619
9 As 0.8440 0.8440 0.8048
10 As 0.1560 0.1560 0.1952
11 Zn 0.4095 0.4095 0.6558
12 Zn 0.0440 0.0440 0.6852
13 Zn 0.5905 0.5905 0.3442
14 Zn 0.9560 0.9560 0.3148

=====

7.
Computed, not measured: ThZn2Ge after structural relaxation at the PBE level of DFT.

Calculated density, Mg/m³: 8.47
ΔE_f, kJ/mol of atoms: -30.3
Energy relative to the lowest polymorph listed for this composition, meV/atom: 66

Cell: 4.6200 4.2992 4.2992 Å, 90.00 90.00 90.00°
Atoms (fractional coordinates):
1 Ge 0.5000 0.0000 0.0000
2 Zn 0.0000 0.5000 0.0000
3 Zn 0.0000 0.0000 0.5000
4 Th 0.5000 0.5000 0.5000

=====

8.
Computed, not measured: RbGaHg2I after structural relaxation at the PBE level of DFT.

Calculated density, Mg/m³: 5.92
Raw formation energy, eV/atom: -0.433

Cell: 5.4232 5.4232 6.5143 Å, 90.00 90.00 90.00°
Atoms (fractional coordinates):
1 Rb 0.5000 0.5000 0.5000
2 Hg 0.5000 0.0000 0.0000
3 Hg 0.0000 0.5000 0.0000
4 Ga 0.0000 0.0000 0.0000
5 I 0.0000 0.0000 0.5000

=====

9.
Computed, not measured: CrNi2As2 after structural relaxation at the PBE level of DFT.

Calculated density, Mg/m³: 7.93
ΔE_f, kJ/mol of atoms: 4.3

Cell: 6.5194 6.5194 3.1452 Å, 90.00 90.00 90.00°
Atoms (fractional coordinates):
1 Ni 0.3606 0.1394 0.5000
2 Ni 0.6394 0.8606 0.5000
3 Ni 0.1394 0.6394 0.5000
4 Ni 0.8606 0.3606 0.5000
5 As 0.3400 0.8400 0.0000
6 As 0.1600 0.3400 0.0000
7 As 0.6600 0.1600 0.0000
8 As 0.8400 0.6600 0.0000
9 Cr 0.0000 0.0000 0.0000
10 Cr 0.5000 0.5000 0.0000

=====

10.
Computed, not measured: BeSnF2 after structural relaxation at the PBE level of DFT.

Calculated density, Mg/m³: 5.03
Energy relative to the lowest polymorph listed for this composition, meV/atom: 0
Raw formation energy, eV/atom: -1.955

Cell: 5.3670 5.3670 5.3670 Å, 60.00 60.00 90.00°
Atoms (fractional coordinates):
1 F 0.3750 0.6250 0.7500
2 F 0.3750 0.6250 0.2500
3 F 0.3750 0.1250 0.2500
4 F 0.8750 0.6250 0.7500
5 Be 0.5000 0.5000 0.0000
6 Be 0.2500 0.7500 0.5000
7 Sn 0.0000 0.0000 0.0000
8 Sn 0.7500 0.2500 0.5000

=====

11.
Computed, not measured: SbOs2WN after structural relaxation at the PBE level of DFT.

Calculated density, Mg/m³: 10.13
Raw formation energy, eV/atom: 3.810

Cell: 4.7961 4.9896 4.7961 Å, 90.00 90.00 90.00°
Atoms (fractional coordinates):
1 Os 0.0000 0.0000 0.5000
2 Os 0.5000 0.0000 0.0000
3 Sb 0.0000 0.0000 0.0000
4 N 0.5000 0.5000 0.5000
5 W 0.0000 0.5000 0.0000

=====

12.
Computed, not measured: SrZnC after structural relaxation at the PBE level of DFT.

Calculated density, Mg/m³: 3.37
ΔE_f, kJ/mol of atoms: 70.0

Cell: 5.0931 5.0931 7.2446 Å, 90.00 90.00 120.00°
Atoms (fractional coordinates):
1 Zn 0.0000 0.0000 0.2500
2 Zn 0.0000 0.0000 0.7500
3 Sr 0.3333 0.6667 0.2500
4 Sr 0.6667 0.3333 0.7500
5 C 0.0000 0.0000 0.0000
6 C 0.0000 0.0000 0.5000

=====

13.
Computed, not measured: Sr2SnS2O2 after structural relaxation at the PBE level of DFT.

Calculated density, Mg/m³: 4.51
Raw formation energy, eV/atom: -1.905

Cell: 3.8642 6.4456 6.8189 Å, 64.13 73.54 72.56°
Atoms (fractional coordinates):
1 Sn 0.0000 0.0000 0.0000
2 O 0.8185 0.2874 0.0756
3 O 0.1815 0.7126 0.9244
4 S 0.4460 0.8079 0.3002
5 S 0.5540 0.1921 0.6998
6 Sr 0.8103 0.6508 0.7285
7 Sr 0.1897 0.3492 0.2715

=====

14.
Computed, not measured: Sm4BBr5 after structural relaxation at the PBE level of DFT.

Calculated density, Mg/m³: 5.60
Raw formation energy, eV/atom: -1.412

Cell: 4.0124 8.3753 9.3819 Å, 102.85 102.35 90.00°
Atoms (fractional coordinates):
1 Br 0.8346 0.6616 0.6691
2 Br 0.5000 0.5000 0.0000
3 Br 0.1711 0.8331 0.3421
4 Br 0.8289 0.1669 0.6579
5 Br 0.1654 0.3384 0.3309
6 B 0.5000 0.0000 0.0000
7 Sm 0.9993 0.2116 0.9987
8 Sm 0.3561 0.9233 0.7122
9 Sm 0.0007 0.7884 0.0013
10 Sm 0.6439 0.0767 0.2878

=====

15.
Computed, not measured: MgAgRh2 after structural relaxation at the PBE level of DFT.

Calculated density, Mg/m³: 8.86
ΔE_f, kJ/mol of atoms: -7.6

Cell: 2.8418 2.8418 7.8455 Å, 90.00 90.00 90.00°
Atoms (fractional coordinates):
1 Rh 0.0000 0.0000 0.0072
2 Rh 0.5000 0.5000 0.2300
3 Ag 0.0000 0.0000 0.4945
4 Mg 0.5000 0.5000 0.7684

=====

16.
Computed, not measured: CaPaMo2N6 after structural relaxation at the PBE level of DFT.

Calculated density, Mg/m³: 6.13
Raw formation energy, eV/atom: -0.811

Cell: 5.9163 7.1880 7.1880 Å, 87.25 79.97 79.97°
Atoms (fractional coordinates):
1 N 0.1118 0.6159 0.1487
2 N 0.4294 0.5879 0.7034
3 N 0.3882 0.8513 0.3841
4 N 0.5706 0.4121 0.2966
5 N 0.1555 0.0010 0.7652
6 N 0.8445 0.9990 0.2348
7 N 0.3445 0.2348 0.9990
8 N 0.0706 0.2966 0.4121
9 N 0.6555 0.7652 0.0010
10 N 0.8882 0.3841 0.8513
11 N 0.9294 0.7034 0.5879
12 N 0.6118 0.1487 0.6159
13 Mo 0.2175 0.7933 0.6093
14 Mo 0.7175 0.6093 0.7933
15 Mo 0.7825 0.2067 0.3907
16 Mo 0.2825 0.3907 0.2067
17 Pa 0.2500 0.2976 0.7024
18 Pa 0.7500 0.7024 0.2976
19 Ca 0.7500 0.0867 0.9133
20 Ca 0.2500 0.9133 0.0867

=====

17.
Computed, not measured: TbErTm2Tl2 after structural relaxation at the PBE level of DFT.

Calculated density, Mg/m³: 10.52
ΔE_f, kJ/mol of atoms: -25.1

Cell: 5.0495 6.7886 9.8815 Å, 90.00 90.00 90.00°
Atoms (fractional coordinates):
1 Tb 0.0000 0.9603 0.4575
2 Tb 0.0000 0.4603 0.5425
3 Tl 0.5000 0.2165 0.3654
4 Tl 0.5000 0.7165 0.6346
5 Tl 0.0000 0.2988 0.8683
6 Tl 0.0000 0.7988 0.1317
7 Tm 0.0000 0.8384 0.8142
8 Tm 0.0000 0.3384 0.1858
9 Tm 0.5000 0.5537 0.9571
10 Tm 0.5000 0.0537 0.0429
11 Er 0.5000 0.6779 0.3092
12 Er 0.5000 0.1779 0.6908

=====

18.
Computed, not measured: Y2Co4B after structural relaxation at the PBE level of DFT.

Calculated density, Mg/m³: 6.51
ΔE_f, kJ/mol of atoms: -8.2

Cell: 3.9228 3.9228 7.5573 Å, 74.96 74.96 90.00°
Atoms (fractional coordinates):
1 Co 0.8665 0.8665 0.2671
2 Co 0.0000 0.5000 0.0000
3 Co 0.5000 0.0000 0.0000
4 Co 0.1335 0.1335 0.7329
5 Y 0.3441 0.3441 0.3117
6 Y 0.6559 0.6559 0.6883
7 B 0.0000 0.0000 0.0000

=====

19.
Computed, not measured: ZnHgIr after structural relaxation at the PBE level of DFT.

Calculated density, Mg/m³: 15.11
ΔE_f, kJ/mol of atoms: 17.1
Energy relative to the lowest polymorph listed for this composition, meV/atom: 0

Cell: 5.5307 5.5307 5.5307 Å, 146.87 146.87 47.56°
Atoms (fractional coordinates):
1 Ir 0.3133 0.3133 0.0000
2 Zn 0.6875 0.6875 0.0000
3 Hg 0.9993 0.9993 0.0000

=====

20.
Computed, not measured: BeSi2Ni8 after structural relaxation at the PBE level of DFT.

Calculated density, Mg/m³: 7.51
Raw formation energy, eV/atom: -0.338

Cell: 3.7340 5.4246 6.4697 Å, 108.76 106.77 90.00°
Atoms (fractional coordinates):
1 Ni 0.3332 0.0667 0.6664
2 Ni 0.4012 0.5502 0.8024
3 Ni 0.1719 0.2377 0.3438
4 Ni 0.6668 0.9333 0.3336
5 Ni 0.8281 0.7623 0.6562
6 Ni 0.5988 0.4498 0.1976
7 Ni 0.0277 0.7642 0.0553
8 Ni 0.9723 0.2358 0.9447
9 Be 0.5000 0.0000 0.0000
10 Si 0.1957 0.6736 0.3914
11 Si 0.8043 0.3264 0.6086